PmPu2IrN4 | GGA-PBE | relaxed

Calculated values
D(E_F), states/eV per atom: 1.678
Spin magnetization, Bohr magnetons per cell: 30.84
E_form (uncorrected), eV/atom: -0.86
Final energy, eV per formula unit: -82.45

a b c (Å): 3.3848 11.6644 11.7275
angles (deg): 90.00 90.00 90.00
Space group Cmcm (No. 63)
Inequivalent atoms, fractional coordinates:
Pm1 0.0000 0.1098 0.2500 (multiplicity 4)
Pu1 0.0000 0.3704 0.0517 (multiplicity 8)
Ir1 0.0000 0.1517 0.7500 (multiplicity 4)
N1 0.0000 0.0000 0.0000 (multiplicity 4)
N2 0.0000 0.2706 0.6139 (multiplicity 8)
N3 0.0000 0.4539 0.2500 (multiplicity 4)

Pm3TeIrN | GGA-PBE | relaxed

Calculated values
D(E_F), states/eV per atom: 0.457
Spin magnetization, Bohr magnetons per cell: 0.00
E_form (uncorrected), eV/atom: -1.05
Final energy, eV per formula unit: -40.89

a b c (Å): 9.1198 4.1180 9.4801
angles (deg): 90.00 102.33 90.00
Space group P2_1/m (No. 11)
Inequivalent atoms, fractional coordinates:
Pm1 0.0751 0.2500 0.3691 (multiplicity 2)
Pm2 0.3423 0.2500 0.9892 (multiplicity 2)
Pm3 0.3689 0.7500 0.6591 (multiplicity 2)
Te1 0.3277 0.7500 0.2856 (multiplicity 2)
Ir1 0.1496 0.2500 0.6666 (multiplicity 2)
N1 0.4110 0.7500 0.9003 (multiplicity 2)

Pm8Te3Ir3N | GGA-PBE | relaxed

Calculated values
D(E_F), states/eV per atom: 0.613
Spin magnetization, Bohr magnetons per cell: 0.00
E_form (uncorrected), eV/atom: -0.95
Final energy, eV per formula unit: -96.58

a b c (Å): 14.2840 8.2523 8.8754
angles (deg): 90.00 122.38 90.00
Space group C2/m (No. 12)
Inequivalent atoms, fractional coordinates:
Pm1 0.0137 0.2315 0.3098 (multiplicity 8)
Pm2 0.2180 0.0000 0.6904 (multiplicity 4)
Pm3 0.2364 0.5000 0.7095 (multiplicity 4)
Te1 0.0000 0.0000 0.0000 (multiplicity 2)
Te2 0.2500 0.2500 0.0000 (multiplicity 4)
Ir1 0.0000 0.5000 0.5000 (multiplicity 2)
Ir2 0.2500 0.2500 0.5000 (multiplicity 4)
N1 0.0000 0.0000 0.5000 (multiplicity 2)

Question: E_form (uncorrected) of number 3 (Pm8Te3Ir3N)?
Answer: -0.95 eV/atom